Here is an optimized crystal structure of Mn3SeF from the Alexandria database. Energies are from PBE with a Hubbard U.

a b c (Å): 4.5974 4.5974 4.5974
angles (deg): 90.00 90.00 90.00
Last column: nearest neighbours and their distance in Å.
Positions (direct):
Mn 0.0000 0.0000 0.5000  2 F 2.30
Mn 0.0000 0.5000 0.0000  2 F 2.30
Mn 0.5000 0.0000 0.0000  2 F 2.30
Se 0.5000 0.5000 0.5000  12 Mn 3.25
F 0.0000 0.0000 0.0000  6 Mn 2.30

Total magnetization: 2.82 μB/atom
Energy above the most stable polymorph in this dataset: 0 meV per atom
Total DFT energy (no corrections): -28.26 eV per cell
Space group: No. 221